This record from Alexandria via LeMat-Bulk describes a geometry-optimized Tb3NdMg structure. The functional is GGA-PBE.

Unit cell a=6.535 b=9.979 c=9.979 alpha=81.37 beta=79.21 gamma=79.21
Sites, in units of the cell vectors:
Tb  0.361  0.377  0.009
Mg  0.750  0.926  0.074
Tb  0.353  0.129  0.277
Nd  0.953  0.323  0.476
Tb  0.959  0.596  0.208
Tb  0.147  0.723  0.871
Tb  0.541  0.792  0.404
Tb  0.639  0.623  0.991
Tb  0.139  0.991  0.623
Tb  0.041  0.404  0.792
Mg  0.250  0.074  0.926
Mg  0.250  0.834  0.166
Tb  0.853  0.277  0.129
Tb  0.459  0.208  0.596
Nd  0.047  0.677  0.524
Nd  0.453  0.476  0.323
Tb  0.861  0.009  0.377
Mg  0.750  0.166  0.834
Nd  0.547  0.524  0.677
Tb  0.647  0.871  0.723

electronic total energy = -4.01 eV per atom
magnetic moment = 0.00 μB/f.u.
energy of formation = 0.9 kcal/mol of atoms